Entry 1:
# KRbPd | the Open Quantum Materials Database | PBE | optimized geometry
# excess energy over the best structure of this formula in the dataset = 0 meV per atom
# density = 2.9 Mg/m³
data_KRbPd
_cell_length_a 8.0790
_cell_length_b 8.0790
_cell_length_c 8.0790
_cell_angle_alpha 90.00
_cell_angle_beta 90.00
_cell_angle_gamma 90.00
_symmetry_space_group_name_H-M 'F -4 3 m'
_symmetry_Int_Tables_number 216
_symmetry_space_group_name_Hall 'F -4 2 3'
loop_
_atom_site_label
_atom_site_type_symbol
_atom_site_fract_x
_atom_site_fract_y
_atom_site_fract_z
K1 K 0.0000 0.0000 0.0000
Rb1 Rb 0.0000 0.0000 0.5000
Pd1 Pd 0.2500 0.2500 0.2500

---

Entry 2:
# Ga2PdI6Br2 | the Open Quantum Materials Database | PBE | optimized geometry
# excess energy over the best structure of this formula in the dataset = 0 meV per atom
# density = 4.1 Mg/m³
data_Ga2PdI6Br2
_cell_length_a 13.5403
_cell_length_b 8.8478
_cell_length_c 7.9344
_cell_angle_alpha 90.00
_cell_angle_beta 95.46
_cell_angle_gamma 90.00
_symmetry_space_group_name_H-M 'C 1 2/m 1'
_symmetry_Int_Tables_number 12
loop_
_symmetry_equiv_pos_as_xyz
'x,y,z'
'-x,-y,-z'
'-x,y,-z'
'x,-y,z'
'x+1/2,y+1/2,z'
'-x+1/2,-y+1/2,-z'
'-x+1/2,y+1/2,-z'
'x+1/2,-y+1/2,z'
loop_
_atom_site_label
_atom_site_type_symbol
_atom_site_fract_x
_atom_site_fract_y
_atom_site_fract_z
Ga1 Ga 0.2168 0.0000 0.3342
Pd1 Pd 0.0000 0.0000 0.0000
I1 I 0.1167 0.2110 0.1477
I2 I 0.1724 0.0000 0.6374
Br1 Br 0.1158 0.5000 0.7028

---

Entry 3:
# NdAgPO | the Open Quantum Materials Database | PBE | optimized geometry
# excess energy over the best structure of this formula in the dataset = 524 meV per atom
# density = 6.2 Mg/m³
data_NdAgPO
_cell_length_a 5.8365
_cell_length_b 5.8365
_cell_length_c 4.7248
_cell_angle_alpha 90.00
_cell_angle_beta 90.00
_cell_angle_gamma 90.00
_symmetry_space_group_name_H-M 'P 4/n m m'
_symmetry_Int_Tables_number 129
loop_
_symmetry_equiv_pos_as_xyz
'x,y,z'
'-x,-y,-z'
'-y+1/2,x,z'
'y+1/2,-x,-z'
'-x+1/2,-y+1/2,z'
'x+1/2,y+1/2,-z'
'y,-x+1/2,z'
'-y,x+1/2,-z'
'x+1/2,-y,-z'
'-x+1/2,y,z'
'-y,-x,-z'
'y,x,z'
'-x,y+1/2,-z'
'x,-y+1/2,z'
'y+1/2,x+1/2,-z'
'-y+1/2,-x+1/2,z'
loop_
_atom_site_label
_atom_site_type_symbol
_atom_site_fract_x
_atom_site_fract_y
_atom_site_fract_z
Nd1 Nd 0.2500 0.7500 0.0000
Ag1 Ag 0.2500 0.2500 0.4967
P1 P 0.2500 0.2500 0.9967
O1 O 0.2500 0.7500 0.5000

---

excess energy over the best structure of this formula in the dataset of number 3 (NdAgPO)?
524 meV per atom